No. 1
TaHg2Br | Alexandria via LeMat-Bulk | PBE | optimized geometry; relative energy among the computed polymorphs = 581 meV/atom
1.0
5.330 0.000 0.000
0.000 5.330 0.000
0.000 0.000 3.161
Ta Hg Br
1 2 1
Direct
0.000 0.000 0.000
0.000 0.500 0.500
0.500 0.000 0.500
0.500 0.500 0.000

No. 2
TaHg2Br | Alexandria via LeMat-Bulk | PBE | optimized geometry; relative energy among the computed polymorphs = 146 meV/atom
1.0
7.753 -2.284 0.000
7.753 2.284 0.000
-0.650 0.000 3.140
Ta Hg Br
1 2 1
Direct
0.000 0.000 0.000
0.450 0.450 0.450
0.815 0.815 0.818
0.137 0.137 0.634

No. 3
TaHg2Br | Alexandria via LeMat-Bulk | PBE | optimized geometry; relative energy among the computed polymorphs = 0 meV/atom
1.0
5.921 0.000 0.000
0.000 3.342 0.000
-0.560 0.000 10.726
Ta Hg Br
2 4 2
Direct
0.000 0.000 0.000
0.364 0.500 0.016
0.298 0.000 0.235
0.383 0.000 0.509
0.774 0.500 0.185
0.858 0.500 0.463
0.077 0.500 0.813
0.587 0.000 0.865

No. 4
Ta2HgBr | Alexandria via LeMat-Bulk | PBE | optimized geometry; relative energy among the computed polymorphs = 579 meV/atom
1.0
0.000 3.345 3.345
3.345 0.000 3.345
3.345 3.345 0.000
Ta Hg Br
2 1 1
Direct
0.250 0.250 0.250
0.750 0.750 0.750
0.000 0.000 0.000
0.500 0.500 0.500

No. 5
TaHg2Br | Alexandria via LeMat-Bulk | PBE | optimized geometry; relative energy among the computed polymorphs = 530 meV/atom
1.0
-4.779 4.779 2.507
4.779 -4.779 2.507
4.779 4.779 -2.507
Ta Hg Br
2 4 2
Direct
0.000 0.000 0.000
0.750 0.250 0.500
0.019 0.625 0.894
0.375 0.269 0.394
0.731 0.125 0.106
0.875 0.981 0.606
0.250 0.750 0.500
0.500 0.500 0.000

No. 6
Ta2HgBr | Alexandria via LeMat-Bulk | PBE | optimized geometry; relative energy among the computed polymorphs = 647 meV/atom
1.0
-2.072 2.072 10.062
2.072 -2.072 10.062
2.072 2.072 -10.062
Ta Hg Br
4 2 2
Direct
0.112 0.625 0.987
0.375 0.362 0.487
0.638 0.125 0.013
0.875 0.888 0.513
0.000 0.000 0.000
0.750 0.250 0.500
0.250 0.750 0.500
0.500 0.500 0.000

No. 7
TaHgBr | Alexandria via LeMat-Bulk | PBE | optimized geometry; relative energy among the computed polymorphs = 212 meV/atom
1.0
-1.581 1.581 6.941
1.581 -1.581 6.941
1.581 1.581 -6.941
Ta Hg Br
1 1 1
Direct
0.000 0.000 0.000
0.362 0.362 0.000
0.621 0.621 0.000

No. 8
TaHg2Br | Alexandria via LeMat-Bulk | PBE | optimized geometry; relative energy among the computed polymorphs = 501 meV/atom
1.0
3.196 0.000 0.000
0.000 5.642 0.000
-0.548 0.000 5.100
Ta Hg Br
1 2 1
Direct
0.000 0.000 0.000
0.304 0.500 0.237
0.696 0.500 0.763
0.000 0.000 0.500

No. 9
Ta4HgBr: optimized geometry, PBE.

The structure in POSCAR format:
```
Ta4HgBr
1.0
0.000 3.957 3.957
3.957 0.000 3.957
3.957 3.957 0.000
Ta Hg Br
4 1 1
Direct
0.376 0.376 0.376
0.376 0.376 0.871
0.376 0.871 0.376
0.871 0.376 0.376
0.750 0.750 0.750
0.000 0.000 0.000
```

No. 10
TaHgBr | Alexandria via LeMat-Bulk | PBE | optimized geometry; relative energy among the computed polymorphs = 523 meV/atom
1.0
4.738 0.000 0.000
-2.369 4.103 0.000
0.000 0.000 3.173
Ta Hg Br
1 1 1
Direct
0.000 0.000 0.000
0.333 0.667 0.500
0.667 0.333 0.000

No. 11
Ta2HgBr | Alexandria via LeMat-Bulk | PBE | optimized geometry; relative energy among the computed polymorphs = 471 meV/atom
1.0
3.120 0.000 0.000
0.000 3.120 0.000
0.000 0.000 7.590
Ta Hg Br
2 1 1
Direct
0.000 0.000 0.237
0.000 0.000 0.763
0.500 0.500 0.500
0.500 0.500 0.000

No. 12
Ta2HgBr | Alexandria via LeMat-Bulk | PBE | optimized geometry; relative energy among the computed polymorphs = 267 meV/atom
1.0
1.536 0.887 9.349
-1.536 0.887 9.349
0.000 -1.774 9.349
Ta Hg Br
2 1 1
Direct
0.246 0.246 0.246
0.754 0.754 0.754
0.000 0.000 0.000
0.500 0.500 0.500

Number 1: uncorrected formation energy 2.38 eV per formula unit, raw total energy -2.94 eV/atom. Number 2: uncorrected formation energy 0.64 eV per formula unit, raw total energy -3.37 eV/atom. Number 3: uncorrected formation energy 0.05 eV per formula unit, raw total energy -3.52 eV/atom. Number 4: uncorrected formation energy 3.06 eV per formula unit, raw total energy -5.65 eV/atom. Number 5: uncorrected formation energy 2.17 eV per formula unit, raw total energy -2.99 eV/atom. Number 6: uncorrected formation energy 3.33 eV per formula unit, raw total energy -5.59 eV/atom. Number 7: uncorrected formation energy 0.84 eV per formula unit, raw total energy -4.33 eV/atom. Number 8: uncorrected formation energy 2.05 eV per formula unit, raw total energy -3.02 eV/atom. Number 9: uncorrected formation energy 4.83 eV per formula unit, raw total energy -7.43 eV/atom. Number 10: uncorrected formation energy 1.78 eV per formula unit, raw total energy -4.02 eV/atom. Number 11: uncorrected formation energy 2.63 eV per formula unit, raw total energy -5.76 eV/atom. Number 12: uncorrected formation energy 1.81 eV per formula unit, raw total energy -5.97 eV/atom.